# Ba6Na2RhAu

A relaxed structure of Ba6Na2RhAu (PBE, Alexandria via LeMat-Bulk).

Output
DFT formation energy	-0.24	eV per atom
N(E_F)	0.700	states/eV/atom

Lattice parameters (Å, degrees): 12.725 12.725 12.725 90.00 90.00 90.00
Space group Fm-3m (No. 225)
One atom of each set of equivalent atoms:
Ba 0.000 0.000 0.242 (multiplicity 24)
Na 0.250 0.250 0.250 (multiplicity 8)
Rh 0.000 0.000 0.000 (multiplicity 4)
Au 0.000 0.000 0.500 (multiplicity 4)

# TbZnGa2

A relaxed structure of TbZnGa2 (PBE, Alexandria via LeMat-Bulk).

Output
DFT formation energy	-0.43	eV per atom
N(E_F)	0.364	states/eV/atom

Lattice parameters (Å, degrees): 4.2401 4.2401 15.3942 90.00 90.00 120.00
Space group R-3m (No. 166, hexagonal axes)
One atom of each set of equivalent atoms:
Tb 0.0000 0.0000 0.0000 (multiplicity 3)
Zn 0.0000 0.0000 0.5000 (multiplicity 3)
Ga 0.0000 0.0000 0.2208 (multiplicity 6)

# Zr3AsF

A relaxed structure of Zr3AsF (PBE, Alexandria via LeMat-Bulk).

Output
formation energy without anion corrections	-3.3	eV/f.u.
N(E_F)	0.957	states/eV/atom

Lattice parameters (Å, degrees): 4.479 4.479 4.479 90.00 90.00 90.00
Space group Pm-3m (No. 221)
One atom of each set of equivalent atoms:
Zr 0.000 0.000 0.500 (multiplicity 3)
As 0.500 0.500 0.500 (multiplicity 1)
F 0.000 0.000 0.000 (multiplicity 1)

# ZnRuCl2

A relaxed structure of ZnRuCl2 (PBE, Alexandria via LeMat-Bulk).

Output
formation energy without anion corrections	0.1	eV/f.u.
polymorph energy (0 for the lowest one)	0.3020	eV/atom

Lattice parameters (Å, degrees): 3.5744 3.5744 27.7260 90.00 90.00 120.00
Space group R-3m (No. 166, hexagonal axes)
One atom of each set of equivalent atoms:
Zn 0.0000 0.0000 0.0000 (multiplicity 3)
Ru 0.0000 0.0000 0.5000 (multiplicity 3)
Cl 0.0000 0.0000 0.2116 (multiplicity 6)